Record 1
Density functional theory data (PBE) for a relaxed structure of K3Cu8S6.

```
data_K3Cu8S6
_space_group_name_H-M_alt 'C 1 2/m 1'
_space_group_IT_number 12
_cell_length_a 17.399
_cell_length_b 3.859
_cell_length_c 9.989
_cell_angle_alpha 90.00
_cell_angle_beta 107.24
_cell_angle_gamma 90.00
loop_
_space_group_symop_operation_xyz
'x,y,z'
'-x,-y,-z'
'-x,y,-z'
'x,-y,z'
'x+1/2,y+1/2,z'
'-x+1/2,-y+1/2,-z'
'-x+1/2,y+1/2,-z'
'x+1/2,-y+1/2,z'
loop_
_atom_site_label
_atom_site_fract_x
_atom_site_fract_y
_atom_site_fract_z
K1 0.000 0.000 0.000
K2 0.195 0.000 0.292
Cu1 0.012 0.000 0.640
Cu2 0.090 0.500 0.539
Cu3 0.090 0.500 0.799
Cu4 0.196 0.000 0.915
S1 0.047 0.500 0.301
S2 0.151 0.000 0.657
S3 0.161 0.500 0.023
```

Output
Density of states at the Fermi level ... 0.28 states/eV/atom
Total DFT energy (no corrections) ... -138.71 eV/cell


Record 2
Density functional theory data (PBE) for a relaxed structure of Ti2ZnHPt.

```
data_Ti2ZnHPt
_space_group_name_H-M_alt 'P 4/m m m'
_space_group_IT_number 123
_space_group_name_Hall '-P 4 2'
_cell_length_a 4.055
_cell_length_b 4.055
_cell_length_c 3.917
_cell_angle_alpha 90.00
_cell_angle_beta 90.00
_cell_angle_gamma 90.00
loop_
_atom_site_label
_atom_site_fract_x
_atom_site_fract_y
_atom_site_fract_z
Ti1 0.000 0.500 0.000
Zn1 0.000 0.000 0.500
H1 0.500 0.500 0.000
Pt1 0.500 0.500 0.500
```

Output
Density of states at the Fermi level ... 0.91 states/eV/atom
Total DFT energy (no corrections) ... -28.78 eV/cell
Distance to the lowest polymorph of the same formula ... 25 meV/atom


Record 3
Density functional theory data (PBE) for a relaxed structure of Be2CdRh2.

```
data_Be2CdRh2
_space_group_name_H-M_alt 'P 4/m b m'
_space_group_IT_number 127
_space_group_name_Hall '-P 4 2ab'
_cell_length_a 6.812
_cell_length_b 6.812
_cell_length_c 2.849
_cell_angle_alpha 90.00
_cell_angle_beta 90.00
_cell_angle_gamma 90.00
loop_
_atom_site_label
_atom_site_fract_x
_atom_site_fract_y
_atom_site_fract_z
Be1 0.144 0.356 0.000
Cd1 0.000 0.000 0.500
Rh1 0.143 0.643 0.500
```

Output
Density of states at the Fermi level ... 0.31 states/eV/atom
Total DFT energy (no corrections) ... -48.57 eV/cell
ΔE_f ... -23.4 kJ per mole of atoms
Distance to the lowest polymorph of the same formula ... 191 meV/atom


Record 4
Density functional theory data (PBE) for a relaxed structure of MnNiHg.

```
data_MnNiHg
_space_group_name_H-M_alt 'P 3 m 1'
_space_group_IT_number 156
_cell_length_a 2.9952
_cell_length_b 2.9952
_cell_length_c 6.2697
_cell_angle_alpha 90.00
_cell_angle_beta 90.00
_cell_angle_gamma 120.00
loop_
_space_group_symop_operation_xyz
'x,y,z'
'-y,x-y,z'
'-x+y,-x,z'
'-y,-x,z'
'-x+y,y,z'
'x,x-y,z'
loop_
_atom_site_label
_atom_site_fract_x
_atom_site_fract_y
_atom_site_fract_z
Mn1 0.0000 0.0000 0.0000
Ni1 0.3333 0.6667 0.2773
Hg1 0.6667 0.3333 0.6254
```

Output
Density of states at the Fermi level ... 0.94 states/eV/atom
Total DFT energy (no corrections) ... -14.30 eV/cell
ΔE_f ... 30.7 kJ per mole of atoms
Distance to the lowest polymorph of the same formula ... 177 meV/atom


Record 5
Density functional theory data (PBE) for a relaxed structure of MgCuTe2.

```
data_MgCuTe2
_space_group_name_H-M_alt 'R -3 m'
_space_group_IT_number 166
_space_group_name_Hall '-R 3 2"'
_cell_length_a 4.1714
_cell_length_b 4.1714
_cell_length_c 24.5107
_cell_angle_alpha 90.00
_cell_angle_beta 90.00
_cell_angle_gamma 120.00
loop_
_atom_site_label
_atom_site_fract_x
_atom_site_fract_y
_atom_site_fract_z
Mg1 0.0000 0.0000 0.0000
Cu1 0.0000 0.0000 0.5000
Te1 0.0000 0.0000 0.4011
```

Output
Density of states at the Fermi level ... 0.70 states/eV/atom
Total DFT energy (no corrections) ... -37.93 eV/cell
Distance to the lowest polymorph of the same formula ... 179 meV/atom


Record 6
Density functional theory data (PBE) for a relaxed structure of Tb4NdCd.

```
data_Tb4NdCd
_space_group_name_H-M_alt 'C 1 2/c 1'
_space_group_IT_number 15
_cell_length_a 10.563
_cell_length_b 6.108
_cell_length_c 11.813
_cell_angle_alpha 90.00
_cell_angle_beta 106.87
_cell_angle_gamma 90.00
loop_
_space_group_symop_operation_xyz
'x,y,z'
'-x,-y,-z'
'-x,y,-z+1/2'
'x,-y,z+1/2'
'x+1/2,y+1/2,z'
'-x+1/2,-y+1/2,-z'
'-x+1/2,y+1/2,-z+1/2'
'x+1/2,-y+1/2,z+1/2'
loop_
_atom_site_label
_atom_site_fract_x
_atom_site_fract_y
_atom_site_fract_z
Tb1 0.081 0.244 0.004
Tb2 0.164 0.413 0.751
Nd1 0.250 0.250 0.500
Cd1 0.000 0.079 0.250
```

Output
Density of states at the Fermi level ... 1.37 states/eV/atom
Total DFT energy (no corrections) ... -97.48 eV/cell
ΔE_f ... -2.7 kJ per mole of atoms
Distance to the lowest polymorph of the same formula ... 63 meV/atom


Record 7
Density functional theory data (PBE) for a relaxed structure of BaScTc2.

```
data_BaScTc2
_space_group_name_H-M_alt 'R 3 m'
_space_group_IT_number 160
_space_group_name_Hall 'R 3 -2"'
_cell_length_a 4.1815
_cell_length_b 4.1815
_cell_length_c 21.8407
_cell_angle_alpha 90.00
_cell_angle_beta 90.00
_cell_angle_gamma 120.00
loop_
_atom_site_label
_atom_site_fract_x
_atom_site_fract_y
_atom_site_fract_z
Ba1 0.0000 0.0000 0.0000
Sc1 0.0000 0.0000 0.1885
Tc1 0.0000 0.0000 0.4622
Tc2 0.0000 0.0000 0.7735
```

Output
Density of states at the Fermi level ... 1.12 states/eV/atom
Total DFT energy (no corrections) ... -84.15 eV/cell
ΔE_f ... 22.6 kJ per mole of atoms
Distance to the lowest polymorph of the same formula ... 0 meV/atom


Record 8
Density functional theory data (PBE) for a relaxed structure of CaZrCl2.

```
data_CaZrCl2
_space_group_name_H-M_alt 'C m m m'
_space_group_IT_number 65
_space_group_name_Hall '-C 2 2'
_cell_length_a 3.268
_cell_length_b 6.566
_cell_length_c 9.019
_cell_angle_alpha 90.00
_cell_angle_beta 90.00
_cell_angle_gamma 90.00
loop_
_atom_site_label
_atom_site_fract_x
_atom_site_fract_y
_atom_site_fract_z
Ca1 0.000 0.000 0.000
Zr1 0.000 0.000 0.500
Cl1 0.000 0.500 0.264
```

Output
Density of states at the Fermi level ... 0.74 states/eV/atom
Total DFT energy (no corrections) ... -35.99 eV/cell
Distance to the lowest polymorph of the same formula ... 235 meV/atom


Record 9
Density functional theory data (PBE) for a relaxed structure of CaNiMo2.

```
data_CaNiMo2
_space_group_name_H-M_alt 'C m m m'
_space_group_IT_number 65
_space_group_name_Hall '-C 2 2'
_cell_length_a 3.571
_cell_length_b 4.096
_cell_length_c 9.149
_cell_angle_alpha 90.00
_cell_angle_beta 90.00
_cell_angle_gamma 90.00
loop_
_atom_site_label
_atom_site_fract_x
_atom_site_fract_y
_atom_site_fract_z
Ca1 0.000 0.000 0.000
Ni1 0.000 0.000 0.500
Mo1 0.000 0.500 0.294
```

Output
Density of states at the Fermi level ... 1.31 states/eV/atom
Total DFT energy (no corrections) ... -54.69 eV/cell
ΔE_f ... 50.7 kJ per mole of atoms
Distance to the lowest polymorph of the same formula ... 201 meV/atom


Record 10
Density functional theory data (PBE) for a relaxed structure of Ba12Zn3O5.

```
data_Ba12Zn3O5
_space_group_name_H-M_alt 'I a -3 d'
_space_group_IT_number 230
_space_group_name_Hall '-I 4bd 2c 3'
_cell_length_a 17.907
_cell_length_b 17.907
_cell_length_c 17.907
_cell_angle_alpha 90.00
_cell_angle_beta 90.00
_cell_angle_gamma 90.00
loop_
_atom_site_label
_atom_site_fract_x
_atom_site_fract_y
_atom_site_fract_z
Ba1 0.035 0.048 0.649
Zn1 0.000 0.250 0.125
O1 0.000 0.000 0.000
O2 0.000 0.250 0.375
```

Output
Density of states at the Fermi level ... 0.96 states/eV/atom
Total DFT energy (no corrections) ... -605.67 eV/cell


Record 11
Density functional theory data (PBE) for a relaxed structure of Sr3Cr.

```
data_Sr3Cr
_space_group_name_H-M_alt 'I 4/m m m'
_space_group_IT_number 139
_space_group_name_Hall '-I 4 2'
_cell_length_a 5.492
_cell_length_b 5.492
_cell_length_c 22.244
_cell_angle_alpha 90.00
_cell_angle_beta 90.00
_cell_angle_gamma 90.00
loop_
_atom_site_label
_atom_site_fract_x
_atom_site_fract_y
_atom_site_fract_z
Sr1 0.000 0.000 0.124
Sr2 0.000 0.500 0.000
Sr3 0.000 0.500 0.250
Cr1 0.000 0.000 0.369
```

Output
Density of states at the Fermi level ... 1.11 states/eV/atom
Total DFT energy (no corrections) ... -50.95 eV/cell
ΔE_f ... 46.6 kJ per mole of atoms


Record 12
Density functional theory data (PBE) for a relaxed structure of ErPuGaPb.

```
data_ErPuGaPb
_space_group_name_H-M_alt 'F -4 3 m'
_space_group_IT_number 216
_space_group_name_Hall 'F -4 2 3'
_cell_length_a 7.441
_cell_length_b 7.441
_cell_length_c 7.441
_cell_angle_alpha 90.00
_cell_angle_beta 90.00
_cell_angle_gamma 90.00
loop_
_atom_site_label
_atom_site_fract_x
_atom_site_fract_y
_atom_site_fract_z
Er1 0.000 0.000 0.000
Pu1 0.000 0.000 0.500
Ga1 0.250 0.250 0.250
Pb1 0.250 0.250 0.750
```

Output
Density of states at the Fermi level ... 2.47 states/eV/atom
Total DFT energy (no corrections) ... -106.84 eV/cell
ΔE_f ... -26.1 kJ per mole of atoms


Record 13
Density functional theory data (PBE) for a relaxed structure of Nd2Al4CuAg3.

```
data_Nd2Al4CuAg3
_space_group_name_H-M_alt 'P -4 m 2'
_space_group_IT_number 115
_cell_length_a 4.370
_cell_length_b 4.370
_cell_length_c 10.696
_cell_angle_alpha 90.00
_cell_angle_beta 90.00
_cell_angle_gamma 90.00
loop_
_space_group_symop_operation_xyz
'x,y,z'
'y,-x,-z'
'-x,-y,z'
'-y,x,-z'
'-x,y,z'
'-y,-x,-z'
'x,-y,z'
'y,x,-z'
loop_
_atom_site_label
_atom_site_fract_x
_atom_site_fract_y
_atom_site_fract_z
Nd1 0.000 0.500 0.242
Al1 0.000 0.000 0.500
Al2 0.000 0.500 0.875
Al3 0.500 0.500 0.500
Cu1 0.500 0.500 0.000
Ag1 0.000 0.000 0.000
Ag2 0.000 0.500 0.636
```

Output
Density of states at the Fermi level ... 0.56 states/eV/atom
Total DFT energy (no corrections) ... -40.55 eV/cell
ΔE_f ... -32.7 kJ per mole of atoms


Record 14
Density functional theory data (PBE) for a relaxed structure of TeC3.

```
data_TeC3
_space_group_name_H-M_alt 'C m m m'
_space_group_IT_number 65
_space_group_name_Hall '-C 2 2'
_cell_length_a 2.613
_cell_length_b 8.011
_cell_length_c 9.716
_cell_angle_alpha 90.00
_cell_angle_beta 90.00
_cell_angle_gamma 90.00
loop_
_atom_site_label
_atom_site_fract_x
_atom_site_fract_y
_atom_site_fract_z
Te1 0.000 0.000 0.000
C1 0.000 0.000 0.500
C2 0.000 0.500 0.422
```

Output
Density of states at the Fermi level ... 0.26 states/eV/atom
Total DFT energy (no corrections) ... -44.68 eV/cell
Distance to the lowest polymorph of the same formula ... 1153 meV/atom


Record 15
Density functional theory data (PBE) for a relaxed structure of SrCdAu2.

```
data_SrCdAu2
_space_group_name_H-M_alt 'C 1 2/m 1'
_space_group_IT_number 12
_cell_length_a 6.996
_cell_length_b 6.996
_cell_length_c 3.995
_cell_angle_alpha 90.00
_cell_angle_beta 90.23
_cell_angle_gamma 90.00
loop_
_space_group_symop_operation_xyz
'x,y,z'
'-x,-y,-z'
'-x,y,-z'
'x,-y,z'
'x+1/2,y+1/2,z'
'-x+1/2,-y+1/2,-z'
'-x+1/2,y+1/2,-z'
'x+1/2,-y+1/2,z'
loop_
_atom_site_label
_atom_site_fract_x
_atom_site_fract_y
_atom_site_fract_z
Sr1 0.000 0.000 0.000
Cd1 0.000 0.500 0.000
Au1 0.250 0.250 0.500
```

Output
Density of states at the Fermi level ... 0.39 states/eV/atom
Total DFT energy (no corrections) ... -21.81 eV/cell
ΔE_f ... -42.3 kJ per mole of atoms